This record from Alexandria via LeMat-Bulk describes CsCoRuF6 after structural relaxation. The functional is PBE with a Hubbard U.

```
data_CsCoRuF6
_chemical_formula_sum 'Cs2 Co2 Ru2 F12'
_cell_length_a 7.530
_cell_length_b 7.530
_cell_length_c 7.530
_cell_angle_alpha 120.14
_cell_angle_beta 120.03
_cell_angle_gamma 89.86
_symmetry_space_group_name_H-M 'P 1'
_symmetry_Int_Tables_number 1
_symmetry_space_group_name_Hall 'P 1'
loop_
_atom_site_label
_atom_site_type_symbol
_atom_site_fract_x
_atom_site_fract_y
_atom_site_fract_z
Cs1 Cs 0.366 0.116 0.250
Cs2 Cs 0.634 0.884 0.750
Co1 Co 0.000 0.000 0.500
Co2 Co 0.000 0.500 0.000
Ru1 Ru 0.000 0.500 0.500
Ru2 Ru 0.500 0.500 0.000
F1 F 0.068 0.818 0.250
F2 F 0.078 0.428 0.257
F3 F 0.078 0.821 0.649
F4 F 0.322 0.572 0.750
F5 F 0.329 0.179 0.757
F6 F 0.329 0.572 0.149
F7 F 0.671 0.428 0.851
F8 F 0.671 0.821 0.243
F9 F 0.678 0.428 0.250
F10 F 0.922 0.179 0.351
F11 F 0.922 0.572 0.743
F12 F 0.932 0.182 0.750
```

Calculated total energy (eV/atom): -5.022
SG: Imma (74)
V (Å³/cell): 301.5